Record 1
The following is a DFT calculation (PBE-GGA) of La2ZrFe2 after structural relaxation.

The space group is P4/mbm (No. 127) and the conventional cell measures 6.915, 6.915 and 4.660 Å, with angles of 90.00, 90.00 and 90.00 degrees. The inequivalent atoms are La at (0.180, 0.320, 0.000), Zr at (0.000, 0.000, 0.500) and Fe at (0.111, 0.611, 0.500).

Its density is 7.2 g/cm3. The calculation puts the formation energy at 1.03 eV/f.u. The value obtained for the total magnetic moment is 0.00 μB per formula unit.

=====

Record 2
The following is a DFT calculation (PBE-GGA) of LaZrFe after structural relaxation.

The space group is I4mm (No. 107) and the conventional cell measures 3.315, 3.315 and 12.521 Å, with angles of 90.00, 90.00 and 90.00 degrees. The inequivalent atoms are La at (0.000, 0.000, 0.000), Zr at (0.000, 0.000, 0.263) and Fe at (0.000, 0.000, 0.662).

Its density is 6.9 g/cm3. The calculation puts the formation energy at 0.37 eV/f.u. The energy above the most stable polymorph in this dataset is 0.0 meV per atom. The value obtained for the total magnetic moment is 0.81 μB per formula unit.

=====

Record 3
The following is a DFT calculation (PBE-GGA) of La2ZrFe after structural relaxation.

The space group is R-3m (No. 166, hexagonal axes) and the conventional cell measures 3.5436, 3.5436 and 28.6282 Å, with angles of 90.00, 90.00 and 120.00 degrees. The inequivalent atoms are La at (0.0000, 0.0000, 0.2371), Zr at (0.0000, 0.0000, 0.0000) and Fe at (0.0000, 0.0000, 0.5000).

Its density is 6.8 g/cm3. The calculation puts the formation energy at 1.50 eV/f.u. The energy above the most stable polymorph in this dataset is 263.9 meV per atom. The value obtained for the total magnetic moment is 1.72 μB per formula unit.

=====

Record 4
The following is a DFT calculation (PBE-GGA) of La2ZrFe after structural relaxation.

The space group is F-43m (No. 216) and the conventional cell measures 7.302, 7.302 and 7.302 Å, with angles of 90.00, 90.00 and 90.00 degrees. The inequivalent atoms are La at (0.000, 0.000, 0.000), La at (0.250, 0.250, 0.250), Zr at (0.250, 0.250, 0.750) and Fe at (0.000, 0.000, 0.500).

Its density is 7.2 g/cm3. The calculation puts the formation energy at 1.69 eV/f.u. The energy above the most stable polymorph in this dataset is 311.0 meV per atom. The value obtained for the total magnetic moment is 0.60 μB per formula unit.

=====

Record 5
The following is a DFT calculation (PBE-GGA) of La2Zr2Fe after structural relaxation.

The space group is P4/mbm (No. 127) and the conventional cell measures 6.706, 6.706 and 5.666 Å, with angles of 90.00, 90.00 and 90.00 degrees. The inequivalent atoms are La at (0.169, 0.331, 0.000), Zr at (0.162, 0.662, 0.500) and Fe at (0.000, 0.000, 0.500).

Its density is 6.7 g/cm3. The calculation puts the formation energy at 0.88 eV/f.u. The value obtained for the total magnetic moment is 0.00 μB per formula unit.

=====

Record 6
The following is a DFT calculation (PBE-GGA) of La2ZrFe after structural relaxation.

The space group is I4/mmm (No. 139) and the conventional cell measures 4.590, 4.590 and 9.687 Å, with angles of 90.00, 90.00 and 90.00 degrees. The inequivalent atoms are La at (0.000, 0.500, 0.250), Zr at (0.000, 0.000, 0.000) and Fe at (0.000, 0.000, 0.500).

Its density is 6.9 g/cm3. The calculation puts the formation energy at 1.75 eV/f.u. The energy above the most stable polymorph in this dataset is 327.4 meV per atom. The value obtained for the total magnetic moment is 2.54 μB per formula unit.

=====

Record 7
The following is a DFT calculation (PBE-GGA) of La2ZrFe after structural relaxation.

The space group is P4mm (No. 99) and the conventional cell measures 3.407, 3.407 and 8.967 Å, with angles of 90.00, 90.00 and 90.00 degrees. The inequivalent atoms are La at (0.000, 0.000, 0.000), La at (0.500, 0.500, 0.352), Zr at (0.000, 0.000, 0.640) and Fe at (0.500, 0.500, 0.781).

Its density is 6.8 g/cm3. The calculation puts the formation energy at 0.44 eV/f.u. The energy above the most stable polymorph in this dataset is 0.0 meV per atom. The value obtained for the total magnetic moment is 1.00 μB per formula unit.

=====

Record 8
The following is a DFT calculation (PBE-GGA) of LaZr3Fe after structural relaxation.

The space group is Pm-3m (No. 221) and the conventional cell measures 5.104, 5.104 and 5.104 Å, with angles of 90.00, 90.00 and 90.00 degrees. The inequivalent atoms are La at (0.000, 0.000, 0.000), Zr at (0.000, 0.000, 0.500) and Fe at (0.500, 0.500, 0.500).

Its density is 5.8 g/cm3. The calculation puts the formation energy at 8.08 eV/f.u. The energy above the most stable polymorph in this dataset is 1492.8 meV per atom. The value obtained for the total magnetic moment is 3.04 μB per formula unit.

=====

Record 9
The following is a DFT calculation (PBE-GGA) of LiFe3 after structural relaxation.

The space group is Cmmm (No. 65) and the conventional cell measures 2.775, 4.056 and 8.591 Å, with angles of 90.00, 90.00 and 90.00 degrees. The inequivalent atoms are Li at (0.000, 0.000, 0.000), Fe at (0.000, 0.000, 0.500) and Fe at (0.000, 0.500, 0.262).

Its density is 6.0 g/cm3. The calculation puts the formation energy at 0.55 eV/f.u. The value obtained for the total magnetic moment is 7.14 μB per formula unit.

=====

Record 10
The following is a DFT calculation (PBE-GGA) of Li4Fe5 after structural relaxation.

The space group is P6_3/mcm (No. 193) and the conventional cell measures 7.2002, 7.2002 and 4.9194 Å, with angles of 90.00, 90.00 and 120.00 degrees. The inequivalent atoms are Li at (0.0000, 0.0000, 0.0000), Li at (0.0000, 0.2920, 0.2500), Fe at (0.0000, 0.3913, 0.7500) and Fe at (0.3333, 0.6667, 0.0000).

Its density is 4.6 g/cm3. The calculation puts the formation energy at 2.96 eV/f.u. The value obtained for the total magnetic moment is 11.67 μB per formula unit.

=====

Record 11
The following is a DFT calculation (PBE-GGA) of Li2Fe after structural relaxation.

The space group is I4/mmm (No. 139) and the conventional cell measures 2.478, 2.478 and 13.552 Å, with angles of 90.00, 90.00 and 90.00 degrees. The inequivalent atoms are Li at (0.000, 0.000, 0.155) and Fe at (0.000, 0.000, 0.500).

Its density is 2.8 g/cm3. The calculation puts the formation energy at 0.80 eV/f.u. The value obtained for the total magnetic moment is 2.11 μB per formula unit.

=====

Record 12
The following is a DFT calculation (PBE-GGA) of LiFe2 after structural relaxation.

The space group is Pnnm (No. 58) and the conventional cell measures 2.355, 7.267 and 4.138 Å, with angles of 90.00, 90.00 and 90.00 degrees. The inequivalent atoms are Li at (0.000, 0.000, 0.000) and Fe at (0.219, 0.333, 0.000).

Its density is 5.6 g/cm3. The calculation puts the formation energy at 0.71 eV/f.u. The value obtained for the total magnetic moment is 4.76 μB per formula unit.

=====

Record 13
The following is a DFT calculation (PBE-GGA) of LiFe4 after structural relaxation.

The space group is I4/mmm (No. 139) and the conventional cell measures 3.628, 3.628 and 9.640 Å, with angles of 90.00, 90.00 and 90.00 degrees. The inequivalent atoms are Li at (0.000, 0.000, 0.000), Fe at (0.000, 0.000, 0.394) and Fe at (0.000, 0.500, 0.250).

Its density is 6.0 g/cm3. The calculation puts the formation energy at 2.46 eV/f.u. The energy above the most stable polymorph in this dataset is 271.2 meV per atom. The value obtained for the total magnetic moment is 3.77 μB per formula unit.

=====

Record 14
The following is a DFT calculation (PBE-GGA) of LiFe5 after structural relaxation.

The space group is F-43m (No. 216) and the conventional cell measures 6.633, 6.633 and 6.633 Å, with angles of 90.00, 90.00 and 90.00 degrees. The inequivalent atoms are Li at (0.000, 0.000, 0.000), Fe at (0.125, 0.125, 0.375) and Fe at (0.250, 0.250, 0.750).

Its density is 6.5 g/cm3. The calculation puts the formation energy at 1.42 eV/f.u. The energy above the most stable polymorph in this dataset is 86.5 meV per atom. The value obtained for the total magnetic moment is 10.27 μB per formula unit.

=====

Record 15
The following is a DFT calculation (PBE-GGA) of LiFe3 after structural relaxation.

The space group is Cmcm (No. 63) and the conventional cell measures 8.277, 5.587 and 4.016 Å, with angles of 90.00, 90.00 and 90.00 degrees. The inequivalent atoms are Li at (0.000, 0.115, 0.250), Fe at (0.000, 0.381, 0.750) and Fe at (0.244, 0.371, 0.250).

Its density is 6.2 g/cm3. The calculation puts the formation energy at 0.71 eV/f.u. The value obtained for the total magnetic moment is 6.83 μB per formula unit.

=====

Record 16
The following is a DFT calculation (PBE-GGA) of Li4Fe3 after structural relaxation.

The space group is I4/mmm (No. 139) and the conventional cell measures 2.620, 2.620 and 27.614 Å, with angles of 90.00, 90.00 and 90.00 degrees. The inequivalent atoms are Li at (0.000, 0.000, 0.070), Li at (0.000, 0.000, 0.343), Fe at (0.000, 0.000, 0.226) and Fe at (0.000, 0.000, 0.500).

Its density is 3.4 g/cm3. The calculation puts the formation energy at 1.94 eV/f.u. The energy above the most stable polymorph in this dataset is 39.1 meV per atom. The value obtained for the total magnetic moment is 0.73 μB per formula unit.

=====

Record 17
The following is a DFT calculation (PBE-GGA) of Li3Fe4 after structural relaxation.

The space group is P6/mmm (No. 191) and the conventional cell measures 4.4508, 4.4508 and 4.8347 Å, with angles of 90.00, 90.00 and 120.00 degrees. The inequivalent atoms are Li at (0.0000, 0.5000, 0.0000), Fe at (0.0000, 0.0000, 0.2751) and Fe at (0.3333, 0.6667, 0.5000).

Its density is 4.9 g/cm3. The calculation puts the formation energy at 2.63 eV/f.u. The value obtained for the total magnetic moment is 9.79 μB per formula unit.

=====

Record 18
The following is a DFT calculation (PBE-GGA) of LiFe3 after structural relaxation.

The space group is C2/m (No. 12) and the conventional cell measures 8.495, 2.458 and 4.585 Å, with angles of 90.00, 96.61 and 90.00 degrees. The inequivalent atoms are Li at (0.000, 0.000, 0.000), Fe at (0.000, 0.500, 0.500) and Fe at (0.248, 0.000, 0.747).

Its density is 6.1 g/cm3. The calculation puts the formation energy at 0.87 eV/f.u. The value obtained for the total magnetic moment is 7.33 μB per formula unit.

=====

Record 19
The following is a DFT calculation (PBE-GGA) of LiFe3 after structural relaxation.

The space group is Pmmm (No. 47) and the conventional cell measures 2.406, 3.964 and 5.025 Å, with angles of 90.00, 90.00 and 90.00 degrees. The inequivalent atoms are Li at (0.000, 0.000, 0.000), Fe at (0.000, 0.000, 0.500) and Fe at (0.500, 0.500, 0.262).

Its density is 6.0 g/cm3. The calculation puts the formation energy at 0.86 eV/f.u. The value obtained for the total magnetic moment is 7.26 μB per formula unit.

=====

Record 20
The following is a DFT calculation (PBE-GGA) of LiFe2 after structural relaxation.

The space group is P6_3/mmc (No. 194) and the conventional cell measures 4.7198, 4.7198 and 7.6699 Å, with angles of 90.00, 90.00 and 120.00 degrees. The inequivalent atoms are Li at (0.3333, 0.6667, 0.0646), Fe at (0.0000, 0.0000, 0.0000) and Fe at (0.1697, 0.3395, 0.7500).

Its density is 5.3 g/cm3. The calculation puts the formation energy at 0.89 eV/f.u. The value obtained for the total magnetic moment is 3.08 μB per formula unit.